Here is a geometry-optimized Ni2CBr4 structure from Alexandria. Energies are from PBE-GGA.

It has space group I4/mmm (No. 139), with a = 4.9373 Å, b = 4.9373 Å, c = 11.8399 Å, α = 90.00°, β = 90.00° and γ = 90.00°. Symmetry generates all atoms from Ni at (0.0000, 0.0000, 0.0974), C at (0.0000, 0.0000, 0.5000), Br at (0.0000, 0.0000, 0.2942) and Br at (0.0000, 0.5000, 0.0000).

Its crystal system is tetragonal. As for the density: 5.17 g/cm3. For the total energy, the calculation gives -3.042 eV/atom. The total magnetization is 5.3 μB/cell.